Record 1
# ZrTcRh2 | Alexandria via LeMat-Bulk | PBE-GGA | relaxed
data_ZrTcRh2
_cell_length_a 9.4417
_cell_length_b 9.4417
_cell_length_c 9.4417
_cell_angle_alpha 17.23
_cell_angle_beta 17.23
_cell_angle_gamma 17.23
_space_group_name_H-M_alt 'P 1'
_space_group_IT_number 1
_space_group_name_Hall 'P 1'
loop_
_atom_site_label
_atom_site_type_symbol
_atom_site_fract_x
_atom_site_fract_y
_atom_site_fract_z
_atom_site_occupancy
Zr1 Zr 0.0000 0.0000 0.0000 1
Tc1 Tc 0.2402 0.2402 0.2402 1
Rh1 Rh 0.5000 0.5000 0.5000 1
Rh2 Rh 0.7510 0.7510 0.7510 1
# energy above the lowest structure with this stoichiometry	0.437	eV per atom
# energy of formation	0.03	eV/atom
# space-group type	R3m

***

Record 2
# Tb5Pr3Te8 | Alexandria via LeMat-Bulk | PBE-GGA | relaxed
data_Tb5Pr3Te8
_cell_length_a 8.9218
_cell_length_b 8.9218
_cell_length_c 8.9218
_cell_angle_alpha 59.20
_cell_angle_beta 59.20
_cell_angle_gamma 59.20
_space_group_name_H-M_alt 'P 1'
_space_group_IT_number 1
_space_group_name_Hall 'P 1'
loop_
_atom_site_label
_atom_site_type_symbol
_atom_site_fract_x
_atom_site_fract_y
_atom_site_fract_z
_atom_site_occupancy
Tb1 Tb 0.0000 0.0000 0.0000 1
Tb2 Tb 0.0000 0.5000 0.5000 1
Tb3 Tb 0.5000 0.0000 0.5000 1
Tb4 Tb 0.5000 0.5000 0.0000 1
Tb5 Tb 0.5000 0.5000 0.5000 1
Pr1 Pr 0.0000 0.0000 0.5000 1
Pr2 Pr 0.0000 0.5000 0.0000 1
Pr3 Pr 0.5000 0.0000 0.0000 1
Te1 Te 0.2499 0.2499 0.7413 1
Te2 Te 0.2499 0.7413 0.2499 1
Te3 Te 0.2544 0.2544 0.2544 1
Te4 Te 0.2587 0.7501 0.7501 1
Te5 Te 0.7413 0.2499 0.2499 1
Te6 Te 0.7456 0.7456 0.7456 1
Te7 Te 0.7501 0.2587 0.7501 1
Te8 Te 0.7501 0.7501 0.2587 1
# formation energy (no corrections)	-1.35	eV/atom
# space-group type	R-3m

***

Record 3
# CaPrSc | Alexandria via LeMat-Bulk | PBE-GGA | relaxed
data_CaPrSc
_cell_length_a 3.5902
_cell_length_b 3.5902
_cell_length_c 8.8891
_cell_angle_alpha 90.00
_cell_angle_beta 90.00
_cell_angle_gamma 120.00
_space_group_name_H-M_alt 'P 1'
_space_group_IT_number 1
_space_group_name_Hall 'P 1'
loop_
_atom_site_label
_atom_site_type_symbol
_atom_site_fract_x
_atom_site_fract_y
_atom_site_fract_z
_atom_site_occupancy
Ca1 Ca 0.0000 0.0000 0.0000 1
Pr1 Pr 0.3333 0.6667 0.6300 1
Sc1 Sc 0.6667 0.3333 0.3312 1
# energy above the lowest structure with this stoichiometry	0.013	eV per atom
# energy of formation	0.12	eV/atom
# space-group type	P3m1

***

Record 4
# CdGaSeO6 | Alexandria via LeMat-Bulk | PBE-GGA | relaxed
data_CdGaSeO6
_cell_length_a 5.0695
_cell_length_b 5.0695
_cell_length_c 9.6271
_cell_angle_alpha 90.00
_cell_angle_beta 90.00
_cell_angle_gamma 120.00
_space_group_name_H-M_alt 'P 1'
_space_group_IT_number 1
_space_group_name_Hall 'P 1'
loop_
_atom_site_label
_atom_site_type_symbol
_atom_site_fract_x
_atom_site_fract_y
_atom_site_fract_z
_atom_site_occupancy
Cd1 Cd 0.0000 0.0000 0.0000 1
Cd2 Cd 0.0000 0.0000 0.5000 1
Ga1 Ga 0.3333 0.6667 0.2500 1
Ga2 Ga 0.6667 0.3333 0.7500 1
Se1 Se 0.3333 0.6667 0.7500 1
Se2 Se 0.6667 0.3333 0.2500 1
O1 O 0.0255 0.3833 0.6426 1
O2 O 0.0255 0.6422 0.8574 1
O3 O 0.3578 0.3833 0.8574 1
O4 O 0.3578 0.9745 0.6426 1
O5 O 0.3833 0.0255 0.1426 1
O6 O 0.3833 0.3578 0.3574 1
O7 O 0.6167 0.6422 0.6426 1
O8 O 0.6167 0.9745 0.8574 1
O9 O 0.6422 0.0255 0.3574 1
O10 O 0.6422 0.6167 0.1426 1
O11 O 0.9745 0.3578 0.1426 1
O12 O 0.9745 0.6167 0.3574 1
# formation energy (no corrections)	-0.90	eV/atom
# space-group type	P-31c

***

Record 5
# LaSm4Bi5 | Alexandria via LeMat-Bulk | PBE-GGA | relaxed
data_LaSm4Bi5
_cell_length_a 12.1345
_cell_length_b 12.1345
_cell_length_c 12.1345
_cell_angle_alpha 158.19
_cell_angle_beta 148.99
_cell_angle_gamma 38.24
_space_group_name_H-M_alt 'P 1'
_space_group_IT_number 1
_space_group_name_Hall 'P 1'
loop_
_atom_site_label
_atom_site_type_symbol
_atom_site_fract_x
_atom_site_fract_y
_atom_site_fract_z
_atom_site_occupancy
La1 La 0.0000 0.0000 0.0000 1
Sm1 Sm 0.2016 0.2016 0.0000 1
Sm2 Sm 0.3996 0.3996 0.0000 1
Sm3 Sm 0.6004 0.6004 0.0000 1
Sm4 Sm 0.7984 0.7984 0.0000 1
Bi1 Bi 0.1028 0.6028 0.5000 1
Bi2 Bi 0.3005 0.8005 0.5000 1
Bi3 Bi 0.5000 0.0000 0.5000 1
Bi4 Bi 0.6995 0.1995 0.5000 1
Bi5 Bi 0.8972 0.3972 0.5000 1
# energy of formation	-0.95	eV/atom
# space-group type	Immm

***

Record 6
# LiCa2PrO4 | Alexandria via LeMat-Bulk | PBE-GGA | relaxed
data_LiCa2PrO4
_cell_length_a 5.8087
_cell_length_b 5.8087
_cell_length_c 11.4857
_cell_angle_alpha 90.00
_cell_angle_beta 90.00
_cell_angle_gamma 146.20
_space_group_name_H-M_alt 'P 1'
_space_group_IT_number 1
_space_group_name_Hall 'P 1'
loop_
_atom_site_label
_atom_site_type_symbol
_atom_site_fract_x
_atom_site_fract_y
_atom_site_fract_z
_atom_site_occupancy
Li1 Li 0.1546 0.8454 0.7500 1
Li2 Li 0.8454 0.1546 0.2500 1
Ca1 Ca 0.3701 0.6299 0.0522 1
Ca2 Ca 0.3701 0.6299 0.4478 1
Ca3 Ca 0.6299 0.3701 0.5522 1
Ca4 Ca 0.6299 0.3701 0.9478 1
Pr1 Pr 0.1140 0.8860 0.2500 1
Pr2 Pr 0.8860 0.1140 0.7500 1
O1 O 0.0000 0.0000 0.0000 1
O2 O 0.0000 0.0000 0.5000 1
O3 O 0.2739 0.7261 0.6283 1
O4 O 0.2739 0.7261 0.8717 1
O5 O 0.4510 0.5490 0.2500 1
O6 O 0.5490 0.4510 0.7500 1
O7 O 0.7261 0.2739 0.1283 1
O8 O 0.7261 0.2739 0.3717 1
# formation energy (no corrections)	-2.81	eV/atom
# space-group type	Cmcm

***

Record 7
# Ca2Ag3Ge | Alexandria via LeMat-Bulk | PBE-GGA | relaxed
data_Ca2Ag3Ge
_cell_length_a 9.3983
_cell_length_b 8.9442
_cell_length_c 5.9298
_cell_angle_alpha 75.35
_cell_angle_beta 67.03
_cell_angle_gamma 37.62
_space_group_name_H-M_alt 'P 1'
_space_group_IT_number 1
_space_group_name_Hall 'P 1'
loop_
_atom_site_label
_atom_site_type_symbol
_atom_site_fract_x
_atom_site_fract_y
_atom_site_fract_z
_atom_site_occupancy
Ca1 Ca 0.2438 0.7562 0.7562 1
Ca2 Ca 0.2500 0.2500 0.2500 1
Ca3 Ca 0.7500 0.7500 0.7500 1
Ca4 Ca 0.7562 0.2438 0.2438 1
Ag1 Ag 0.1711 0.1711 0.8289 1
Ag2 Ag 0.1721 0.6581 0.3419 1
Ag3 Ag 0.3419 0.8279 0.1721 1
Ag4 Ag 0.6581 0.1721 0.8279 1
Ag5 Ag 0.8279 0.3419 0.6581 1
Ag6 Ag 0.8289 0.8289 0.1711 1
Ge1 Ge 0.3343 0.3343 0.6657 1
Ge2 Ge 0.6657 0.6657 0.3343 1
# energy of formation	-0.33	eV/atom
# space-group type	Fmmm

***

Record 8
# CaLa2PbBr | Alexandria via LeMat-Bulk | PBE-GGA | relaxed
data_CaLa2PbBr
_cell_length_a 6.1639
_cell_length_b 6.1639
_cell_length_c 5.1441
_cell_angle_alpha 90.00
_cell_angle_beta 90.00
_cell_angle_gamma 90.00
_space_group_name_H-M_alt 'P 1'
_space_group_IT_number 1
_space_group_name_Hall 'P 1'
loop_
_atom_site_label
_atom_site_type_symbol
_atom_site_fract_x
_atom_site_fract_y
_atom_site_fract_z
_atom_site_occupancy
Ca1 Ca 0.0000 0.0000 0.0000 1
La1 La 0.0000 0.5000 0.0000 1
La2 La 0.5000 0.0000 0.0000 1
Pb1 Pb 0.5000 0.5000 0.5000 1
Br1 Br 0.0000 0.0000 0.5000 1
# formation energy (no corrections)	0.20	eV/atom
# space-group type	P4/mmm

***

Record 9
# DyYInAu | Alexandria via LeMat-Bulk | PBE-GGA | relaxed
data_DyYInAu
_cell_length_a 5.2268
_cell_length_b 5.2268
_cell_length_c 5.2268
_cell_angle_alpha 60.00
_cell_angle_beta 60.00
_cell_angle_gamma 60.00
_space_group_name_H-M_alt 'P 1'
_space_group_IT_number 1
_space_group_name_Hall 'P 1'
loop_
_atom_site_label
_atom_site_type_symbol
_atom_site_fract_x
_atom_site_fract_y
_atom_site_fract_z
_atom_site_occupancy
Dy1 Dy 0.0000 0.0000 0.0000 1
Y1 Y 0.5000 0.5000 0.5000 1
In1 In 0.7500 0.7500 0.7500 1
Au1 Au 0.2500 0.2500 0.2500 1
# energy above the lowest structure with this stoichiometry	0.050	eV per atom
# energy of formation	-0.63	eV/atom
# space-group type	F-43m

***

Record 10
# Zr6ScZn2 | Alexandria via LeMat-Bulk | PBE-GGA | relaxed
data_Zr6ScZn2
_cell_length_a 6.0682
_cell_length_b 6.0682
_cell_length_c 10.6718
_cell_angle_alpha 106.98
_cell_angle_beta 106.98
_cell_angle_gamma 31.16
_space_group_name_H-M_alt 'P 1'
_space_group_IT_number 1
_space_group_name_Hall 'P 1'
loop_
_atom_site_label
_atom_site_type_symbol
_atom_site_fract_x
_atom_site_fract_y
_atom_site_fract_z
_atom_site_occupancy
Zr1 Zr 0.0143 0.0143 0.3480 1
Zr2 Zr 0.3123 0.3123 0.1231 1
Zr3 Zr 0.3120 0.3120 0.4130 1
Zr4 Zr 0.6880 0.6880 0.5870 1
Zr5 Zr 0.6877 0.6877 0.8769 1
Zr6 Zr 0.9857 0.9857 0.6520 1
Sc1 Sc 0.0000 0.0000 0.0000 1
Zn1 Zn 0.3620 0.3620 0.7950 1
Zn2 Zn 0.6380 0.6380 0.2050 1
# energy of formation	-0.09	eV/atom
# space-group type	C2/m

***

Record 11
# HfOsBr2 | Alexandria via LeMat-Bulk | PBE-GGA | relaxed
data_HfOsBr2
_cell_length_a 4.6877
_cell_length_b 4.6877
_cell_length_c 4.6877
_cell_angle_alpha 60.00
_cell_angle_beta 60.00
_cell_angle_gamma 60.00
_space_group_name_H-M_alt 'P 1'
_space_group_IT_number 1
_space_group_name_Hall 'P 1'
loop_
_atom_site_label
_atom_site_type_symbol
_atom_site_fract_x
_atom_site_fract_y
_atom_site_fract_z
_atom_site_occupancy
Hf1 Hf 0.0000 0.0000 0.0000 1
Os1 Os 0.5000 0.5000 0.5000 1
Br1 Br 0.2500 0.2500 0.2500 1
Br2 Br 0.7500 0.7500 0.7500 1
# energy above the lowest structure with this stoichiometry	0.418	eV per atom
# formation energy (no corrections)	0.83	eV/atom
# space-group type	Fm-3m

***

Record 12
# Sm2YEr8 | Alexandria via LeMat-Bulk | PBE-GGA | relaxed
data_Sm2YEr8
_cell_length_a 8.8655
_cell_length_b 8.8655
_cell_length_c 6.6042
_cell_angle_alpha 99.27
_cell_angle_beta 99.27
_cell_angle_gamma 43.58
_space_group_name_H-M_alt 'P 1'
_space_group_IT_number 1
_space_group_name_Hall 'P 1'
loop_
_atom_site_label
_atom_site_type_symbol
_atom_site_fract_x
_atom_site_fract_y
_atom_site_fract_z
_atom_site_occupancy
Sm1 Sm 0.2444 0.2444 0.3111 1
Sm2 Sm 0.7556 0.7556 0.6889 1
Y1 Y 0.0000 0.0000 0.0000 1
Er1 Er 0.1739 0.6510 0.5962 1
Er2 Er 0.2015 0.2015 0.8020 1
Er3 Er 0.3490 0.8261 0.4038 1
Er4 Er 0.4117 0.4117 0.0962 1
Er5 Er 0.5883 0.5883 0.9038 1
Er6 Er 0.6510 0.1739 0.5962 1
Er7 Er 0.7985 0.7985 0.1980 1
Er8 Er 0.8261 0.3490 0.4038 1
# energy above the lowest structure with this stoichiometry	0.016	eV per atom
# energy of formation	0.17	eV/atom
# space-group type	C2/m